A relaxed Cd2In2Ni3 crystal. Source: Alexandria, functional PBE-GGA.

## Properties
Symmetry: C2/m
DFT formation energy in eV per atom: -0.06

Cell lengths 4.4159, 4.4124, 7.5766 Å; angles 89.94, 107.01, 119.98 degrees
Fractional positions:
Cd (0.2621, 0.1311, 0.3932)
Cd (0.7379, 0.8689, 0.6068)
In (0.7663, 0.3833, 0.1495)
In (0.2337, 0.6167, 0.8505)
Ni (0.0000, 0.0000, 0.0000)
Ni (0.5183, 0.2588, 0.7774)
Ni (0.4817, 0.7412, 0.2226)

A relaxed AlCd2Tc crystal. Source: Alexandria, functional PBE-GGA.

## Properties
Symmetry: Cmmm
DFT formation energy in eV per atom: 0.29

Cell lengths 5.2191, 5.2191, 2.9072 Å; angles 90.00, 90.00, 115.67 degrees
Site moments in Bohr magnetons follow the coordinates.
Fractional positions:
Al (0.0000, 0.5000, 0.5000)  0.00
Tc (0.5000, 0.0000, 0.5000)  0.29
Cd (0.0000, 0.0000, 0.0000)  0.00
Cd (0.5000, 0.5000, 0.0000)  0.00

no.,DOS at the Fermi energy (states/eV/atom)
1,0.46
2,0.86